Record 1
HfZr2AlOs | PBE | relaxed

Calculated values
* raw total energy: -8.012 eV/atom
* DFT formation energy: 1.96 eV per formula unit

The structure in CIF format:
```
data_HfZr2AlOs
_cell_length_a 5.039
_cell_length_b 5.039
_cell_length_c 4.992
_cell_angle_alpha 90.00
_cell_angle_beta 90.00
_cell_angle_gamma 90.00
_space_group_name_H-M_alt 'P 4/m m m'
_space_group_IT_number 123
_space_group_name_Hall '-P 4 2'
loop_
_atom_site_label
_atom_site_type_symbol
_atom_site_fract_x
_atom_site_fract_y
_atom_site_fract_z
Hf1 Hf 0.000 0.000 0.000
Zr1 Zr 0.000 0.500 0.500
Al1 Al 0.500 0.500 0.000
Os1 Os 0.000 0.000 0.500
```

=====

Record 2
Hf4AlP | PBE | relaxed

Calculated values
* polymorph energy (0 for the lowest one): 525 meV per atom
* raw total energy: -8.286 eV/atom
* DFT formation energy: -0.75 eV per formula unit

The structure in CIF format:
```
data_Hf4AlP
_cell_length_a 6.437
_cell_length_b 6.109
_cell_length_c 7.480
_cell_angle_alpha 90.00
_cell_angle_beta 117.08
_cell_angle_gamma 90.00
_space_group_name_H-M_alt 'P 1 21/c 1'
_space_group_IT_number 14
_space_group_name_Hall '-P 2ybc'
loop_
_atom_site_label
_atom_site_type_symbol
_atom_site_fract_x
_atom_site_fract_y
_atom_site_fract_z
Hf1 Hf 0.143 0.202 0.272
Hf2 Hf 0.331 0.747 0.685
Al1 Al 0.500 0.000 0.000
P1 P 0.000 0.000 0.500
```

=====

Record 3
HfAlP | PBE | relaxed

Calculated values
* raw total energy: -6.827 eV/atom
* DFT formation energy: -1.38 eV per formula unit

The structure in CIF format:
```
data_HfAlP
_cell_length_a 4.4763
_cell_length_b 4.4763
_cell_length_c 20.1154
_cell_angle_alpha 90.00
_cell_angle_beta 90.00
_cell_angle_gamma 120.00
_space_group_name_H-M_alt 'R -3 m'
_space_group_IT_number 166
_space_group_name_Hall '-R 3 2"'
loop_
_atom_site_label
_atom_site_type_symbol
_atom_site_fract_x
_atom_site_fract_y
_atom_site_fract_z
Hf1 Hf 0.0000 0.0000 0.0843
Al1 Al 0.0000 0.0000 0.3368
P1 P 0.0000 0.0000 0.2182
```

=====

Record 4
Hf4AlP | PBE | relaxed

Calculated values
* polymorph energy (0 for the lowest one): 0 meV per atom
* raw total energy: -8.811 eV/atom
* DFT formation energy: -3.90 eV per formula unit

The structure in CIF format:
```
data_Hf4AlP
_cell_length_a 6.577
_cell_length_b 6.577
_cell_length_c 5.269
_cell_angle_alpha 90.00
_cell_angle_beta 90.00
_cell_angle_gamma 90.00
_space_group_name_H-M_alt 'P 4/m c c'
_space_group_IT_number 124
_space_group_name_Hall '-P 4 2c'
loop_
_atom_site_label
_atom_site_type_symbol
_atom_site_fract_x
_atom_site_fract_y
_atom_site_fract_z
Hf1 Hf 0.147 0.336 0.000
Al1 Al 0.500 0.500 0.250
P1 P 0.000 0.000 0.250
```

=====

Record 5
Hf2Al2P | PBE | relaxed

Calculated values
* raw total energy: -7.057 eV/atom
* DFT formation energy: -2.48 eV per formula unit

The structure in CIF format:
```
data_Hf2Al2P
_cell_length_a 6.727
_cell_length_b 6.727
_cell_length_c 4.313
_cell_angle_alpha 90.00
_cell_angle_beta 90.00
_cell_angle_gamma 90.00
_space_group_name_H-M_alt 'P 4/m b m'
_space_group_IT_number 127
_space_group_name_Hall '-P 4 2ab'
loop_
_atom_site_label
_atom_site_type_symbol
_atom_site_fract_x
_atom_site_fract_y
_atom_site_fract_z
Hf1 Hf 0.164 0.336 0.000
Al1 Al 0.141 0.641 0.500
P1 P 0.000 0.000 0.000
```

=====

Record 6
Hf6Al2P | PBE | relaxed

Calculated values
* raw total energy: -8.468 eV/atom
* DFT formation energy: -3.60 eV per formula unit

The structure in CIF format:
```
data_Hf6Al2P
_cell_length_a 5.623
_cell_length_b 7.279
_cell_length_c 10.444
_cell_angle_alpha 90.00
_cell_angle_beta 121.20
_cell_angle_gamma 90.00
_space_group_name_H-M_alt 'P 1 21/c 1'
_space_group_IT_number 14
_space_group_name_Hall '-P 2ybc'
loop_
_atom_site_label
_atom_site_type_symbol
_atom_site_fract_x
_atom_site_fract_y
_atom_site_fract_z
Hf1 Hf 0.089 0.169 0.453
Hf2 Hf 0.332 0.688 0.452
Hf3 Hf 0.400 0.031 0.273
Al1 Al 0.155 0.116 0.752
P1 P 0.000 0.000 0.000
```

=====

Record 7
Hf2AlPPd | PBE | relaxed

Calculated values
* raw total energy: -6.377 eV/atom
* DFT formation energy: 2.37 eV per formula unit

The structure in CIF format:
```
data_Hf2AlPPd
_cell_length_a 5.101
_cell_length_b 5.101
_cell_length_c 4.337
_cell_angle_alpha 90.00
_cell_angle_beta 90.00
_cell_angle_gamma 90.00
_space_group_name_H-M_alt 'P 4/m m m'
_space_group_IT_number 123
_space_group_name_Hall '-P 4 2'
loop_
_atom_site_label
_atom_site_type_symbol
_atom_site_fract_x
_atom_site_fract_y
_atom_site_fract_z
Hf1 Hf 0.000 0.500 0.000
Al1 Al 0.000 0.000 0.500
P1 P 0.500 0.500 0.500
Pd1 Pd 0.500 0.500 0.000
```

=====

Record 8
HfAlPS2 | PBE | relaxed

Calculated values
* polymorph energy (0 for the lowest one): 0 meV per atom
* raw total energy: -5.668 eV/atom

The structure in CIF format:
```
data_HfAlPS2
_cell_length_a 4.896
_cell_length_b 4.896
_cell_length_c 5.112
_cell_angle_alpha 90.00
_cell_angle_beta 90.00
_cell_angle_gamma 90.00
_space_group_name_H-M_alt 'P 4/m m m'
_space_group_IT_number 123
_space_group_name_Hall '-P 4 2'
loop_
_atom_site_label
_atom_site_type_symbol
_atom_site_fract_x
_atom_site_fract_y
_atom_site_fract_z
Hf1 Hf 0.000 0.000 0.000
Al1 Al 0.500 0.500 0.500
P1 P 0.000 0.000 0.500
S1 S 0.000 0.500 0.000
```

=====

Record 9
HfAlP2S | PBE | relaxed

Calculated values
* polymorph energy (0 for the lowest one): 0 meV per atom
* raw total energy: -5.587 eV/atom

The structure in CIF format:
```
data_HfAlP2S
_cell_length_a 5.024
_cell_length_b 5.024
_cell_length_c 4.871
_cell_angle_alpha 90.00
_cell_angle_beta 90.00
_cell_angle_gamma 90.00
_space_group_name_H-M_alt 'P 4/m m m'
_space_group_IT_number 123
_space_group_name_Hall '-P 4 2'
loop_
_atom_site_label
_atom_site_type_symbol
_atom_site_fract_x
_atom_site_fract_y
_atom_site_fract_z
Hf1 Hf 0.000 0.000 0.000
Al1 Al 0.500 0.500 0.500
P1 P 0.000 0.500 0.000
S1 S 0.000 0.000 0.500
```

=====

Record 10
HfAlP2S | PBE | relaxed

Calculated values
* polymorph energy (0 for the lowest one): 107 meV per atom
* raw total energy: -5.480 eV/atom

The structure in CIF format:
```
data_HfAlP2S
_cell_length_a 4.570
_cell_length_b 4.570
_cell_length_c 4.545
_cell_angle_alpha 90.00
_cell_angle_beta 90.00
_cell_angle_gamma 90.00
_space_group_name_H-M_alt 'P 4/m m m'
_space_group_IT_number 123
_space_group_name_Hall '-P 4 2'
loop_
_atom_site_label
_atom_site_type_symbol
_atom_site_fract_x
_atom_site_fract_y
_atom_site_fract_z
Hf1 Hf 0.000 0.000 0.000
Al1 Al 0.500 0.500 0.500
P1 P 0.000 0.500 0.500
S1 S 0.500 0.500 0.000
```

=====

Record 11
HfAlPS2 | PBE | relaxed

Calculated values
* polymorph energy (0 for the lowest one): 159 meV per atom
* raw total energy: -5.509 eV/atom

The structure in CIF format:
```
data_HfAlPS2
_cell_length_a 4.488
_cell_length_b 4.488
_cell_length_c 4.681
_cell_angle_alpha 90.00
_cell_angle_beta 90.00
_cell_angle_gamma 90.00
_space_group_name_H-M_alt 'P 4/m m m'
_space_group_IT_number 123
_space_group_name_Hall '-P 4 2'
loop_
_atom_site_label
_atom_site_type_symbol
_atom_site_fract_x
_atom_site_fract_y
_atom_site_fract_z
Hf1 Hf 0.000 0.000 0.000
Al1 Al 0.500 0.500 0.500
P1 P 0.500 0.500 0.000
S1 S 0.000 0.500 0.500
```

=====

Record 12
Hf2AlSbP | PBE | relaxed

Calculated values
* raw total energy: -6.392 eV/atom

The structure in CIF format:
```
data_Hf2AlSbP
_cell_length_a 4.837
_cell_length_b 4.837
_cell_length_c 5.130
_cell_angle_alpha 90.00
_cell_angle_beta 90.00
_cell_angle_gamma 90.00
_space_group_name_H-M_alt 'P 4/m m m'
_space_group_IT_number 123
_space_group_name_Hall '-P 4 2'
loop_
_atom_site_label
_atom_site_type_symbol
_atom_site_fract_x
_atom_site_fract_y
_atom_site_fract_z
Hf1 Hf 0.000 0.500 0.000
Al1 Al 0.000 0.000 0.500
Sb1 Sb 0.500 0.500 0.500
P1 P 0.500 0.500 0.000
```

=====

Record 13
Hf3PaAl8 | PBE | relaxed

Calculated values
* raw total energy: -6.128 eV/atom
* DFT formation energy: -4.24 eV per formula unit

The structure in CIF format:
```
data_Hf3PaAl8
_cell_length_a 5.3114
_cell_length_b 5.3114
_cell_length_c 8.8958
_cell_angle_alpha 90.00
_cell_angle_beta 90.00
_cell_angle_gamma 120.00
_space_group_name_H-M_alt 'P 3 m 1'
_space_group_IT_number 156
_space_group_name_Hall 'P 3 -2"'
loop_
_atom_site_label
_atom_site_type_symbol
_atom_site_fract_x
_atom_site_fract_y
_atom_site_fract_z
Hf1 Hf 0.0000 0.0000 0.0000
Hf2 Hf 0.0000 0.0000 0.3693
Hf3 Hf 0.3333 0.6667 0.8704
Pa1 Pa 0.3333 0.6667 0.4981
Al1 Al 0.0078 0.5039 0.1810
Al2 Al 0.3269 0.1634 0.6938
Al3 Al 0.6667 0.3333 0.4334
Al4 Al 0.6667 0.3333 0.9404
```

=====

Record 14
Hf2PaAl | PBE | relaxed

Calculated values
* polymorph energy (0 for the lowest one): 0 meV per atom
* raw total energy: -8.412 eV/atom
* DFT formation energy: -0.50 eV per formula unit

The structure in CIF format:
```
data_Hf2PaAl
_cell_length_a 4.559
_cell_length_b 4.559
_cell_length_c 4.127
_cell_angle_alpha 90.00
_cell_angle_beta 90.00
_cell_angle_gamma 90.00
_space_group_name_H-M_alt 'P 4/m m m'
_space_group_IT_number 123
_space_group_name_Hall '-P 4 2'
loop_
_atom_site_label
_atom_site_type_symbol
_atom_site_fract_x
_atom_site_fract_y
_atom_site_fract_z
Hf1 Hf 0.000 0.500 0.000
Pa1 Pa 0.000 0.000 0.500
Al1 Al 0.500 0.500 0.500
```

=====

Record 15
HfPaAl4 | PBE | relaxed

Calculated values
* raw total energy: -6.006 eV/atom
* DFT formation energy: -1.62 eV per formula unit

The structure in CIF format:
```
data_HfPaAl4
_cell_length_a 7.675
_cell_length_b 7.675
_cell_length_c 7.675
_cell_angle_alpha 90.00
_cell_angle_beta 90.00
_cell_angle_gamma 90.00
_space_group_name_H-M_alt 'F -4 3 m'
_space_group_IT_number 216
_space_group_name_Hall 'F -4 2 3'
loop_
_atom_site_label
_atom_site_type_symbol
_atom_site_fract_x
_atom_site_fract_y
_atom_site_fract_z
Hf1 Hf 0.000 0.000 0.000
Pa1 Pa 0.250 0.250 0.750
Al1 Al 0.125 0.125 0.375
```

=====

Record 16
HfPaAl2 | PBE | relaxed

Calculated values
* polymorph energy (0 for the lowest one): 99 meV per atom
* raw total energy: -6.889 eV/atom
* DFT formation energy: -0.62 eV per formula unit

The structure in CIF format:
```
data_HfPaAl2
_cell_length_a 4.361
_cell_length_b 4.361
_cell_length_c 4.366
_cell_angle_alpha 90.00
_cell_angle_beta 90.00
_cell_angle_gamma 90.00
_space_group_name_H-M_alt 'P 4/m m m'
_space_group_IT_number 123
_space_group_name_Hall '-P 4 2'
loop_
_atom_site_label
_atom_site_type_symbol
_atom_site_fract_x
_atom_site_fract_y
_atom_site_fract_z
Hf1 Hf 0.000 0.000 0.000
Pa1 Pa 0.500 0.500 0.000
Al1 Al 0.000 0.500 0.500
```

=====

Record 17
HfPaAl2 | PBE | relaxed

Calculated values
* polymorph energy (0 for the lowest one): 126 meV per atom
* raw total energy: -6.863 eV/atom
* DFT formation energy: -0.52 eV per formula unit

The structure in CIF format:
```
data_HfPaAl2
_cell_length_a 3.0829
_cell_length_b 3.0829
_cell_length_c 30.2480
_cell_angle_alpha 90.00
_cell_angle_beta 90.00
_cell_angle_gamma 120.00
_space_group_name_H-M_alt 'R -3 m'
_space_group_IT_number 166
_space_group_name_Hall '-R 3 2"'
loop_
_atom_site_label
_atom_site_type_symbol
_atom_site_fract_x
_atom_site_fract_y
_atom_site_fract_z
Hf1 Hf 0.0000 0.0000 0.0000
Pa1 Pa 0.0000 0.0000 0.5000
Al1 Al 0.0000 0.0000 0.2541
```

=====

Record 18
Hf2PaAl | PBE | relaxed

Calculated values
* polymorph energy (0 for the lowest one): 18 meV per atom
* raw total energy: -8.394 eV/atom
* DFT formation energy: -0.43 eV per formula unit

The structure in CIF format:
```
data_Hf2PaAl
_cell_length_a 3.038
_cell_length_b 3.038
_cell_length_c 9.228
_cell_angle_alpha 90.00
_cell_angle_beta 90.00
_cell_angle_gamma 90.00
_space_group_name_H-M_alt 'P 4/m m m'
_space_group_IT_number 123
_space_group_name_Hall '-P 4 2'
loop_
_atom_site_label
_atom_site_type_symbol
_atom_site_fract_x
_atom_site_fract_y
_atom_site_fract_z
Hf1 Hf 0.000 0.000 0.222
Pa1 Pa 0.500 0.500 0.500
Al1 Al 0.500 0.500 0.000
```

=====

Record 19
Hf2PaAl | PBE | relaxed

Calculated values
* polymorph energy (0 for the lowest one): 1778 meV per atom
* raw total energy: -6.633 eV/atom
* DFT formation energy: 6.61 eV per formula unit

The structure in CIF format:
```
data_Hf2PaAl
_cell_length_a 4.1411
_cell_length_b 4.1411
_cell_length_c 25.6120
_cell_angle_alpha 90.00
_cell_angle_beta 90.00
_cell_angle_gamma 120.00
_space_group_name_H-M_alt 'R -3 m'
_space_group_IT_number 166
_space_group_name_Hall '-R 3 2"'
loop_
_atom_site_label
_atom_site_type_symbol
_atom_site_fract_x
_atom_site_fract_y
_atom_site_fract_z
Hf1 Hf 0.0000 0.0000 0.1118
Pa1 Pa 0.0000 0.0000 0.5000
Al1 Al 0.0000 0.0000 0.0000
```

=====

Record 20
Hf5Pa3Al12 | PBE | relaxed

Calculated values
* raw total energy: -5.269 eV/atom
* DFT formation energy: 17.80 eV per formula unit

The structure in CIF format:
```
data_Hf5Pa3Al12
_cell_length_a 16.312
_cell_length_b 16.312
_cell_length_c 16.312
_cell_angle_alpha 90.00
_cell_angle_beta 90.00
_cell_angle_gamma 90.00
_space_group_name_H-M_alt 'I a -3 d'
_space_group_IT_number 230
_space_group_name_Hall '-I 4bd 2c 3'
loop_
_atom_site_label
_atom_site_type_symbol
_atom_site_fract_x
_atom_site_fract_y
_atom_site_fract_z
Hf1 Hf 0.000 0.000 0.000
Hf2 Hf 0.000 0.250 0.375
Pa1 Pa 0.000 0.250 0.125
Al1 Al 0.003 0.074 0.651
```

=====

Record 21
HfPa2Al3 | PBE | relaxed

Calculated values
* raw total energy: -6.957 eV/atom
* DFT formation energy: -1.57 eV per formula unit

The structure in CIF format:
```
data_HfPa2Al3
_cell_length_a 5.4768
_cell_length_b 5.4768
_cell_length_c 9.5809
_cell_angle_alpha 90.00
_cell_angle_beta 90.00
_cell_angle_gamma 120.00
_space_group_name_H-M_alt 'P 63/m m c'
_space_group_IT_number 194
_space_group_name_Hall '-P 6c 2c'
loop_
_atom_site_label
_atom_site_type_symbol
_atom_site_fract_x
_atom_site_fract_y
_atom_site_fract_z
Hf1 Hf 0.0000 0.0000 0.0000
Pa1 Pa 0.3333 0.6667 0.0414
Al1 Al 0.1695 0.3390 0.7500
```

=====

Record 22
HfPa2Al3 | PBE | relaxed

Calculated values
* raw total energy: -6.955 eV/atom
* DFT formation energy: -1.56 eV per formula unit

The structure in CIF format:
```
data_HfPa2Al3
_cell_length_a 9.489
_cell_length_b 5.468
_cell_length_c 5.743
_cell_angle_alpha 90.00
_cell_angle_beta 123.40
_cell_angle_gamma 90.00
_space_group_name_H-M_alt 'C 1 2/m 1'
_space_group_IT_number 12
_space_group_name_Hall '-C 2y'
loop_
_atom_site_label
_atom_site_type_symbol
_atom_site_fract_x
_atom_site_fract_y
_atom_site_fract_z
Hf1 Hf 0.000 0.000 0.000
Pa1 Pa 0.139 0.500 0.916
Al1 Al 0.000 0.000 0.500
Al2 Al 0.250 0.250 0.500
```

=====

Number 1: density 7.57 g/cm³. Number 2: density 9.79 g/cm³. Number 3: density 6.75 g/cm³. Number 4: density 11.25 g/cm³. Number 5: density 7.52 g/cm³. Number 6: density 10.50 g/cm³. Number 7: density 7.67 g/cm³. Number 8: density 4.07 g/cm³. Number 9: density 4.05 g/cm³. Number 10: density 5.24 g/cm³. Number 11: density 5.29 g/cm³. Number 12: density 7.42 g/cm³. Number 13: density 7.51 g/cm³. Number 14: density 11.91 g/cm³. Number 15: density 7.60 g/cm³. Number 16: density 9.27 g/cm³. Number 17: density 9.27 g/cm³. Number 18: density 11.99 g/cm³. Number 19: density 8.05 g/cm³. Number 20: density 5.84 g/cm³. Number 21: density 9.63 g/cm³. Number 22: density 9.63 g/cm³.